No. 1
# LiPa2Ge4Pd3 (PBE, relaxed)
# DOS at the Fermi energy	5.3	states/eV per cell
# formation enthalpy at 0 K	-0.55	eV/atom
data_LiPa2Ge4Pd3
_space_group_name_H-M_alt 'P -4 m 2'
_space_group_IT_number 115
_cell_length_a 4.096
_cell_length_b 4.096
_cell_length_c 10.960
_cell_angle_alpha 90.00
_cell_angle_beta 90.00
_cell_angle_gamma 90.00
loop_
_space_group_symop_operation_xyz
'x,y,z'
'y,-x,-z'
'-x,-y,z'
'-y,x,-z'
'-x,y,z'
'-y,-x,-z'
'x,-y,z'
'y,x,-z'
loop_
_atom_site_label
_atom_site_type_symbol
_atom_site_fract_x
_atom_site_fract_y
_atom_site_fract_z
_atom_site_occupancy
Li1 Li 0.000 0.000 0.000 1
Pa1 Pa 0.000 0.500 0.759 1
Ge1 Ge 0.000 0.000 0.500 1
Ge2 Ge 0.000 0.500 0.135 1
Ge3 Ge 0.500 0.500 0.500 1
Pd1 Pd 0.000 0.500 0.358 1
Pd2 Pd 0.500 0.500 0.000 1


No. 2
# LiPmPaGe (PBE, relaxed)
# DOS at the Fermi energy	32.7	states/eV per cell
# formation enthalpy at 0 K	-0.03	eV/atom
data_LiPmPaGe
_space_group_name_H-M_alt 'F -4 3 m'
_space_group_IT_number 216
_space_group_name_Hall 'F -4 2 3'
_cell_length_a 7.190
_cell_length_b 7.190
_cell_length_c 7.190
_cell_angle_alpha 90.00
_cell_angle_beta 90.00
_cell_angle_gamma 90.00
loop_
_atom_site_label
_atom_site_type_symbol
_atom_site_fract_x
_atom_site_fract_y
_atom_site_fract_z
_atom_site_occupancy
Li1 Li 0.000 0.000 0.000 1
Pm1 Pm 0.250 0.250 0.250 1
Pa1 Pa 0.250 0.250 0.750 1
Ge1 Ge 0.000 0.000 0.500 1


No. 3
# LiPaGePt (PBE, relaxed)
# DOS at the Fermi energy	9.2	states/eV per cell
# formation enthalpy at 0 K	-0.57	eV/atom
data_LiPaGePt
_space_group_name_H-M_alt 'F -4 3 m'
_space_group_IT_number 216
_space_group_name_Hall 'F -4 2 3'
_cell_length_a 6.753
_cell_length_b 6.753
_cell_length_c 6.753
_cell_angle_alpha 90.00
_cell_angle_beta 90.00
_cell_angle_gamma 90.00
loop_
_atom_site_label
_atom_site_type_symbol
_atom_site_fract_x
_atom_site_fract_y
_atom_site_fract_z
_atom_site_occupancy
Li1 Li 0.000 0.000 0.000 1
Pa1 Pa 0.000 0.000 0.500 1
Ge1 Ge 0.250 0.250 0.250 1
Pt1 Pt 0.250 0.250 0.750 1


No. 4
# LiPaGe2Pt5 (PBE, relaxed)
# DOS at the Fermi energy	3.4	states/eV per cell
# formation enthalpy at 0 K	-0.72	eV/atom
data_LiPaGe2Pt5
_space_group_name_H-M_alt 'P 4/m m m'
_space_group_IT_number 123
_space_group_name_Hall '-P 4 2'
_cell_length_a 4.196
_cell_length_b 4.196
_cell_length_c 9.306
_cell_angle_alpha 90.00
_cell_angle_beta 90.00
_cell_angle_gamma 90.00
loop_
_atom_site_label
_atom_site_type_symbol
_atom_site_fract_x
_atom_site_fract_y
_atom_site_fract_z
_atom_site_occupancy
Li1 Li 0.000 0.000 0.000 1
Pa1 Pa 0.000 0.000 0.500 1
Ge1 Ge 0.500 0.500 0.130 1
Pt1 Pt 0.000 0.500 0.280 1
Pt2 Pt 0.500 0.500 0.500 1


No. 5
# LiPa2Ge4Pt3 (PBE, relaxed)
# DOS at the Fermi energy	5.4	states/eV per cell
# formation enthalpy at 0 K	-0.69	eV/atom
data_LiPa2Ge4Pt3
_space_group_name_H-M_alt 'P -4 m 2'
_space_group_IT_number 115
_cell_length_a 4.114
_cell_length_b 4.114
_cell_length_c 10.895
_cell_angle_alpha 90.00
_cell_angle_beta 90.00
_cell_angle_gamma 90.00
loop_
_space_group_symop_operation_xyz
'x,y,z'
'y,-x,-z'
'-x,-y,z'
'-y,x,-z'
'-x,y,z'
'-y,-x,-z'
'x,-y,z'
'y,x,-z'
loop_
_atom_site_label
_atom_site_type_symbol
_atom_site_fract_x
_atom_site_fract_y
_atom_site_fract_z
_atom_site_occupancy
Li1 Li 0.000 0.000 0.000 1
Pa1 Pa 0.000 0.500 0.760 1
Ge1 Ge 0.000 0.000 0.500 1
Ge2 Ge 0.000 0.500 0.132 1
Ge3 Ge 0.500 0.500 0.500 1
Pt1 Pt 0.000 0.500 0.356 1
Pt2 Pt 0.500 0.500 0.000 1


No. 6
# LiPaReGe (PBE, relaxed)
# DOS at the Fermi energy	16.2	states/eV per cell
# formation enthalpy at 0 K	-0.02	eV/atom
data_LiPaReGe
_space_group_name_H-M_alt 'F -4 3 m'
_space_group_IT_number 216
_space_group_name_Hall 'F -4 2 3'
_cell_length_a 6.547
_cell_length_b 6.547
_cell_length_c 6.547
_cell_angle_alpha 90.00
_cell_angle_beta 90.00
_cell_angle_gamma 90.00
loop_
_atom_site_label
_atom_site_type_symbol
_atom_site_fract_x
_atom_site_fract_y
_atom_site_fract_z
_atom_site_occupancy
Li1 Li 0.000 0.000 0.000 1
Pa1 Pa 0.250 0.250 0.250 1
Re1 Re 0.000 0.000 0.500 1
Ge1 Ge 0.250 0.250 0.750 1


No. 7
# LiPa2Ge3Rh4 (PBE, relaxed)
# DOS at the Fermi energy	11.8	states/eV per cell
# formation enthalpy at 0 K	-0.70	eV/atom
data_LiPa2Ge3Rh4
_space_group_name_H-M_alt 'P -4 m 2'
_space_group_IT_number 115
_cell_length_a 4.035
_cell_length_b 4.035
_cell_length_c 10.719
_cell_angle_alpha 90.00
_cell_angle_beta 90.00
_cell_angle_gamma 90.00
loop_
_space_group_symop_operation_xyz
'x,y,z'
'y,-x,-z'
'-x,-y,z'
'-y,x,-z'
'-x,y,z'
'-y,-x,-z'
'x,-y,z'
'y,x,-z'
loop_
_atom_site_label
_atom_site_type_symbol
_atom_site_fract_x
_atom_site_fract_y
_atom_site_fract_z
_atom_site_occupancy
Li1 Li 0.000 0.000 0.000 1
Pa1 Pa 0.000 0.500 0.753 1
Ge1 Ge 0.000 0.500 0.369 1
Ge2 Ge 0.500 0.500 0.000 1
Rh1 Rh 0.000 0.000 0.500 1
Rh2 Rh 0.000 0.500 0.144 1
Rh3 Rh 0.500 0.500 0.500 1


No. 8
# LiPaGeRu (PBE, relaxed)
# DOS at the Fermi energy	3.7	states/eV per cell
# formation enthalpy at 0 K	-0.35	eV/atom
data_LiPaGeRu
_space_group_name_H-M_alt 'F -4 3 m'
_space_group_IT_number 216
_space_group_name_Hall 'F -4 2 3'
_cell_length_a 6.504
_cell_length_b 6.504
_cell_length_c 6.504
_cell_angle_alpha 90.00
_cell_angle_beta 90.00
_cell_angle_gamma 90.00
loop_
_atom_site_label
_atom_site_type_symbol
_atom_site_fract_x
_atom_site_fract_y
_atom_site_fract_z
_atom_site_occupancy
Li1 Li 0.000 0.000 0.000 1
Pa1 Pa 0.250 0.250 0.750 1
Ge1 Ge 0.250 0.250 0.250 1
Ru1 Ru 0.000 0.000 0.500 1


No. 9
Below is a geometry-optimized LiPaGeS4 structure, with properties calculated at the PBE level.

```
data_LiPaGeS4
_space_group_name_H-M_alt 'I m m a'
_space_group_IT_number 74
_space_group_name_Hall '-I 2b 2'
_cell_length_a 7.652
_cell_length_b 8.118
_cell_length_c 11.088
_cell_angle_alpha 90.00
_cell_angle_beta 90.00
_cell_angle_gamma 90.00
loop_
_atom_site_label
_atom_site_type_symbol
_atom_site_fract_x
_atom_site_fract_y
_atom_site_fract_z
_atom_site_occupancy
Li1 Li 0.000 0.250 0.142 1
Pa1 Pa 0.000 0.000 0.500 1
Ge1 Ge 0.250 0.250 0.750 1
S1 S 0.000 0.015 0.733 1
S2 S 0.232 0.250 0.505 1
```


No. 10
Below is a geometry-optimized Li3PaGe2Se6 structure, with properties calculated at the PBE level.

```
data_Li3PaGe2Se6
_space_group_name_H-M_alt 'C 1 2/m 1'
_space_group_IT_number 12
_cell_length_a 7.025
_cell_length_b 12.173
_cell_length_c 6.760
_cell_angle_alpha 90.00
_cell_angle_beta 110.22
_cell_angle_gamma 90.00
loop_
_space_group_symop_operation_xyz
'x,y,z'
'-x,-y,-z'
'-x,y,-z'
'x,-y,z'
'x+1/2,y+1/2,z'
'-x+1/2,-y+1/2,-z'
'-x+1/2,y+1/2,-z'
'x+1/2,-y+1/2,z'
loop_
_atom_site_label
_atom_site_type_symbol
_atom_site_fract_x
_atom_site_fract_y
_atom_site_fract_z
_atom_site_occupancy
Li1 Li 0.000 0.000 0.000 1
Li2 Li 0.000 0.329 0.000 1
Pa1 Pa 0.000 0.500 0.500 1
Ge1 Ge 0.000 0.166 0.500 1
Se1 Se 0.246 0.500 0.254 1
Se2 Se 0.247 0.336 0.748 1
```


No. 11
# LiPaZnGe (PBE, relaxed)
# DOS at the Fermi energy	19.9	states/eV per cell
# formation enthalpy at 0 K	-0.17	eV/atom
data_LiPaZnGe
_space_group_name_H-M_alt 'F -4 3 m'
_space_group_IT_number 216
_space_group_name_Hall 'F -4 2 3'
_cell_length_a 6.768
_cell_length_b 6.768
_cell_length_c 6.768
_cell_angle_alpha 90.00
_cell_angle_beta 90.00
_cell_angle_gamma 90.00
loop_
_atom_site_label
_atom_site_type_symbol
_atom_site_fract_x
_atom_site_fract_y
_atom_site_fract_z
_atom_site_occupancy
Li1 Li 0.000 0.000 0.000 1
Pa1 Pa 0.000 0.000 0.500 1
Zn1 Zn 0.250 0.250 0.250 1
Ge1 Ge 0.250 0.250 0.750 1


No. 12
# Li7GePb4 (PBE, relaxed)
# DOS at the Fermi energy	7.9	states/eV per cell
# formation enthalpy at 0 K	-0.12	eV/atom
data_Li7GePb4
_space_group_name_H-M_alt 'C 1 2/m 1'
_space_group_IT_number 12
_cell_length_a 13.333
_cell_length_b 4.977
_cell_length_c 10.125
_cell_angle_alpha 90.00
_cell_angle_beta 125.47
_cell_angle_gamma 90.00
loop_
_space_group_symop_operation_xyz
'x,y,z'
'-x,-y,-z'
'-x,y,-z'
'x,-y,z'
'x+1/2,y+1/2,z'
'-x+1/2,-y+1/2,-z'
'-x+1/2,y+1/2,-z'
'x+1/2,-y+1/2,z'
loop_
_atom_site_label
_atom_site_type_symbol
_atom_site_fract_x
_atom_site_fract_y
_atom_site_fract_z
_atom_site_occupancy
Li1 Li 0.000 0.000 0.000 1
Li2 Li 0.070 0.500 0.312 1
Li3 Li 0.138 0.000 0.573 1
Li4 Li 0.215 0.500 0.875 1
Ge1 Ge 0.000 0.500 0.000 1
Pb1 Pb 0.071 0.000 0.792 1
Pb2 Pb 0.211 0.000 0.350 1


no.,M_tot (μB per atom),total DFT energy (no corrections) (eV/atom)
1,0.000,-6.0461
2,0.319,-5.2212
3,0.000,-6.0866
4,0.000,-6.3742
5,0.000,-6.4384
6,0.000,-7.1409
7,0.000,-7.1187
8,0.000,-6.6731
9,0.000,-5.7879
10,0.000,-4.7440
11,0.000,-4.4961
12,0.000,-2.8535